## a
DFT (GGA-PBE) results for a relaxed NaGa3N crystal.

Summary:
Density of states at the Fermi level: 0.912 states/eV per atom

a b c (Å): 5.096 5.096 5.096
angles (deg): 90.00 90.00 90.00
Positions (direct):
Ga  0.000  0.500  0.000
N  0.500  0.500  0.500
Na  0.000  0.000  0.000
Ga  0.500  0.000  0.000
Ga  0.000  0.000  0.500

---

## b
DFT (GGA-PBE) results for a relaxed NaGa3N crystal.

Summary:
Density of states at the Fermi level: 0.542 states/eV per atom

a b c (Å): 4.511 4.511 4.511
angles (deg): 90.00 90.00 90.00
Positions (direct):
Ga  0.000  0.500  0.000
N  0.000  0.000  0.000
Ga  0.500  0.000  0.000
Ga  0.000  0.000  0.500
Na  0.500  0.500  0.500

---

It is a that is the least stable of them.

---

## a
DFT (GGA-PBE) results for a relaxed NaGaN crystal.

a b c (Å): 4.843 5.656 6.422
angles (deg): 91.93 90.00 90.00
Positions (direct):
Na  0.217  0.601  0.128
Ga  0.223  0.053  0.410
Ga  0.777  0.947  0.590
Ga  0.277  0.053  0.910
Na  0.283  0.601  0.628
Na  0.783  0.399  0.872
Ga  0.723  0.947  0.090
N  0.952  0.805  0.851
N  0.048  0.195  0.149
Na  0.717  0.399  0.372
N  0.452  0.195  0.649
N  0.548  0.805  0.351

---

## b
DFT (GGA-PBE) results for a relaxed NaGaN crystal.

Summary:
Density of states at the Fermi level: 0.302 states/eV per atom

a b c (Å): 4.245 3.300 8.552
angles (deg): 90.00 119.84 90.00
Positions (direct):
Ga  0.331  0.750  0.080
Ga  0.669  0.250  0.920
N  0.824  0.750  0.074
Na  0.084  0.250  0.333
N  0.176  0.250  0.926
Na  0.916  0.750  0.667

---

It is b that is the least stable of them.

---

## a
DFT (GGA-PBE) results for a relaxed NaGaTe2N crystal.

Summary:
Density of states at the Fermi level: 1.049 states/eV per atom

a b c (Å): 5.609 4.249 5.609
angles (deg): 90.00 90.00 90.00
Positions (direct):
Te  0.500  0.000  0.000
N  0.000  0.500  0.000
Te  0.000  0.000  0.500
Na  0.000  0.000  0.000
Ga  0.500  0.500  0.500

---

## b
DFT (GGA-PBE) results for a relaxed NaGaTe2N crystal.

Summary:
Density of states at the Fermi level: 0.701 states/eV per atom

a b c (Å): 6.069 6.069 3.467
angles (deg): 90.00 90.00 90.00
Positions (direct):
Te  0.000  0.500  0.000
Te  0.500  0.000  0.000
Na  0.500  0.500  0.500
N  0.000  0.000  0.500
Ga  0.000  0.000  0.000

---

It is a that is the least stable of them.

---

## a
DFT (GGA-PBE) results for a relaxed NbGa3N crystal.

Summary:
Density of states at the Fermi level: 0.965 states/eV per atom

a b c (Å): 5.113 5.113 5.113
angles (deg): 90.00 90.00 90.00
Positions (direct):
Nb  0.000  0.000  0.000
Ga  0.500  0.000  0.000
N  0.500  0.500  0.500
Ga  0.000  0.500  0.000
Ga  0.000  0.000  0.500

---

## b
DFT (GGA-PBE) results for a relaxed NbGa3N crystal.

Summary:
Density of states at the Fermi level: 1.007 states/eV per atom

a b c (Å): 4.221 4.221 4.221
angles (deg): 90.00 90.00 90.00
Positions (direct):
Ga  0.000  0.500  0.000
Nb  0.500  0.500  0.500
N  0.000  0.000  0.000
Ga  0.500  0.000  0.000
Ga  0.000  0.000  0.500

---

It is a that is the least stable of them.

---

## a
DFT (GGA-PBE) results for a relaxed Nb4Ga2N crystal.

Summary:
Density of states at the Fermi level: 0.659 states/eV per atom

a b c (Å): 8.453 8.453 8.453
angles (deg): 60.00 60.00 60.00
Positions (direct):
N  0.125  0.125  0.125
Nb  0.803  0.197  0.197
Ga  0.407  0.780  0.407
Nb  0.625  0.625  0.625
Ga  0.843  0.843  0.470
N  0.625  0.125  0.125
Nb  0.625  0.125  0.625
Nb  0.447  0.053  0.447
Nb  0.447  0.447  0.053
Nb  0.803  0.197  0.803
Ga  0.407  0.407  0.780
Ga  0.407  0.407  0.407
Nb  0.803  0.803  0.197
N  0.125  0.625  0.125
Ga  0.843  0.470  0.843
Nb  0.125  0.625  0.625
Nb  0.197  0.803  0.803
N  0.125  0.125  0.625
Nb  0.053  0.447  0.447
Ga  0.780  0.407  0.407
Nb  0.625  0.625  0.125
Nb  0.197  0.197  0.803
Nb  0.197  0.803  0.197
Ga  0.470  0.843  0.843
Ga  0.843  0.843  0.843
Nb  0.053  0.447  0.053
Nb  0.447  0.053  0.053
Nb  0.053  0.053  0.447

---

## b
DFT (GGA-PBE) results for a relaxed Nb4Ga2N crystal.

Summary:
Density of states at the Fermi level: 0.713 states/eV per atom

a b c (Å): 4.094 4.094 7.614
angles (deg): 74.40 74.40 90.00
Positions (direct):
N  0.000  0.000  0.000
Ga  0.647  0.647  0.706
Nb  0.837  0.837  0.326
Ga  0.353  0.353  0.294
Nb  0.000  0.500  0.000
Nb  0.500  0.000  0.000
Nb  0.163  0.163  0.674

---

It is b that is the least stable of them.

---

## a
DFT (GGA-PBE) results for a relaxed TaNb2GaN crystal.

Summary:
Density of states at the Fermi level: 0.502 states/eV per atom

a b c (Å): 4.981 3.561 4.981
angles (deg): 90.00 90.00 90.00
Positions (direct):
Ga  0.000  0.000  0.000
Nb  0.000  0.000  0.500
N  0.000  0.500  0.000
Ta  0.500  0.500  0.500
Nb  0.500  0.000  0.000

---

## b
DFT (GGA-PBE) results for a relaxed TaNb2GaN crystal.

Summary:
Density of states at the Fermi level: 0.893 states/eV per atom

a b c (Å): 4.370 4.370 4.059
angles (deg): 90.00 90.00 90.00
Positions (direct):
Ta  0.000  0.000  0.500
Nb  0.500  0.000  0.000
Nb  0.000  0.500  0.000
N  0.000  0.000  0.000
Ga  0.500  0.500  0.500

---

It is a that is the least stable of them.

---

## a
DFT (GGA-PBE) results for a relaxed NbGaTe2N crystal.

Summary:
Density of states at the Fermi level: 1.136 states/eV per atom

a b c (Å): 5.545 5.545 3.533
angles (deg): 90.00 90.00 90.00
Positions (direct):
Nb  0.500  0.500  0.500
Te  0.500  0.000  0.000
N  0.000  0.000  0.500
Te  0.000  0.500  0.000
Ga  0.000  0.000  0.000

---

## b
DFT (GGA-PBE) results for a relaxed NbGaTe2N crystal.

Summary:
Density of states at the Fermi level: 0.822 states/eV per atom

a b c (Å): 5.644 5.644 3.919
angles (deg): 90.00 90.00 90.00
Positions (direct):
Nb  0.000  0.000  0.000
Te  0.000  0.500  0.000
N  0.000  0.000  0.500
Te  0.500  0.000  0.000
Ga  0.500  0.500  0.500

---

It is a that is the least stable of them.

---

## a
DFT (GGA-PBE) results for a relaxed GaNi3N crystal.

Summary:
Density of states at the Fermi level: 1.172 states/eV per atom

a b c (Å): 4.321 4.321 4.321
angles (deg): 90.00 90.00 90.00
Positions (direct):
Ni  0.000  0.000  0.500
Ni  0.500  0.000  0.000
Ga  0.000  0.000  0.000
Ni  0.000  0.500  0.000
N  0.500  0.500  0.500

---

## b
DFT (GGA-PBE) results for a relaxed GaNi3N crystal.

Summary:
Density of states at the Fermi level: 0.307 states/eV per atom

a b c (Å): 3.778 3.778 3.778
angles (deg): 90.00 90.00 90.00
Positions (direct):
Ga  0.500  0.500  0.500
Ni  0.500  0.000  0.000
N  0.000  0.000  0.000
Ni  0.000  0.500  0.000
Ni  0.000  0.000  0.500

---

It is a that is the least stable of them.

---

## a
DFT (GGA-PBE) results for a relaxed RbGaNiN2 crystal.

Summary:
Density of states at the Fermi level: 1.574 states/eV per atom

a b c (Å): 4.414 4.986 4.414
angles (deg): 90.00 90.00 90.00
Positions (direct):
Rb  0.000  0.000  0.000
Ni  0.000  0.500  0.000
N  0.000  0.000  0.500
Ga  0.500  0.500  0.500
N  0.500  0.000  0.000

---

## b
DFT (GGA-PBE) results for a relaxed RbGaNiN2 crystal.

Summary:
Density of states at the Fermi level: 0.932 states/eV per atom

a b c (Å): 4.164 4.613 4.164
angles (deg): 90.00 90.00 90.00
Positions (direct):
Rb  0.500  0.500  0.500
N  0.500  0.000  0.000
N  0.000  0.000  0.500
Ga  0.000  0.500  0.000
Ni  0.000  0.000  0.000

---

It is a that is the least stable of them.

---

## a
DFT (GGA-PBE) results for a relaxed GaNiSN2 crystal.

Summary:
Density of states at the Fermi level: 0.581 states/eV per atom

a b c (Å): 3.507 3.507 7.359
angles (deg): 90.00 90.00 90.00
Positions (direct):
Ga  0.500  0.500  0.500
Ni  0.000  0.000  0.000
N  0.000  0.500  0.000
N  0.500  0.000  0.000
S  0.000  0.000  0.500

---

## b
DFT (GGA-PBE) results for a relaxed GaNiSN2 crystal.

Summary:
Density of states at the Fermi level: 0.592 states/eV per atom

a b c (Å): 3.710 3.710 5.350
angles (deg): 90.00 90.00 90.00
Positions (direct):
Ga  0.000  0.000  0.000
Ni  0.500  0.500  0.500
S  0.000  0.000  0.500
N  0.500  0.000  0.000
N  0.000  0.500  0.000

---

It is b that is the least stable of them.

---

## a
DFT (GGA-PBE) results for a relaxed GaNiS2N crystal.

Summary:
Density of states at the Fermi level: 0.711 states/eV per atom

a b c (Å): 4.761 4.761 3.417
angles (deg): 90.00 90.00 90.00
Positions (direct):
Ni  0.000  0.000  0.000
Ga  0.500  0.500  0.500
N  0.000  0.000  0.500
S  0.000  0.500  0.000
S  0.500  0.000  0.000

---

## b
DFT (GGA-PBE) results for a relaxed GaNiS2N crystal.

Summary:
Density of states at the Fermi level: 1.109 states/eV per atom

a b c (Å): 4.824 4.824 3.614
angles (deg): 90.00 90.00 90.00
Positions (direct):
S  0.000  0.500  0.000
Ga  0.000  0.000  0.000
S  0.500  0.000  0.000
N  0.000  0.000  0.500
Ni  0.500  0.500  0.500

---

It is b that is the least stable of them.

---

## a
DFT (GGA-PBE) results for a relaxed GaNiSeN2 crystal.

Summary:
Density of states at the Fermi level: 0.541 states/eV per atom

a b c (Å): 3.720 3.720 5.309
angles (deg): 90.00 90.00 90.00
Positions (direct):
Ni  0.000  0.000  0.000
Se  0.000  0.000  0.500
Ga  0.500  0.500  0.500
N  0.000  0.500  0.000
N  0.500  0.000  0.000

---

## b
DFT (GGA-PBE) results for a relaxed GaNiSeN2 crystal.

Summary:
Density of states at the Fermi level: 0.610 states/eV per atom

a b c (Å): 3.730 3.730 5.711
angles (deg): 90.00 90.00 90.00
Positions (direct):
N  0.500  0.000  0.000
N  0.000  0.500  0.000
Ga  0.000  0.000  0.000
Se  0.000  0.000  0.500
Ni  0.500  0.500  0.500

---

It is b that is the least stable of them.